Record 1
Ta2AlOs | PBE | optimized geometry

Unit cell a=3.3887 b=3.3887 c=5.7606 alpha=90.00 beta=90.00 gamma=90.00
Closest atoms and distances in Å follow each position.
Positions (direct):
Ta (0.0000, 0.0000, 0.2436)  4 Os 2.78, 2 Ta 2.81-2.95, 4 Al 2.81
Ta (0.0000, 0.0000, 0.7564)  4 Os 2.78, 2 Ta 2.81-2.95, 4 Al 2.81
Al (0.5000, 0.5000, 0.5000)  8 Ta 2.81, 2 Os 2.88
Os (0.5000, 0.5000, 0.0000)  8 Ta 2.78, 2 Al 2.88

Results
Formation energy in meV/atom: -96
Excess energy over the best structure of this formula in the dataset in kJ per mole of atoms: 17.4
VASP energy in eV/atom: -9.7654

---

Record 2
Ta2AlTeOs | PBE | optimized geometry

Unit cell a=4.9747 b=4.9747 c=4.8032 alpha=90.00 beta=90.00 gamma=90.00
Closest atoms and distances in Å follow each position.
Positions (direct):
Ta (0.0000, 0.5000, 0.0000)  2 Te 2.49
Ta (0.5000, 0.0000, 0.0000)  2 Te 2.49
Al (0.0000, 0.0000, 0.5000)  8 Ta 3.46, 4 Os 3.52
Te (0.5000, 0.5000, 0.0000)  2 Os 2.40, 4 Ta 2.49
Os (0.5000, 0.5000, 0.5000)  2 Te 2.40

Results
VASP energy in eV/atom: -6.4890

---

Record 3
TaAlTeOs2 | PBE | optimized geometry

Unit cell a=4.7839 b=4.7839 c=4.9995 alpha=90.00 beta=90.00 gamma=90.00
Closest atoms and distances in Å follow each position.
Positions (direct):
Ta (0.0000, 0.0000, 0.0000)  2 Te 2.50
Al (0.5000, 0.5000, 0.0000)  4 Ta 3.38, 8 Os 3.46
Te (0.0000, 0.0000, 0.5000)  4 Os 2.39, 2 Ta 2.50
Os (0.0000, 0.5000, 0.5000)  2 Te 2.39
Os (0.5000, 0.0000, 0.5000)  2 Te 2.39

Results
VASP energy in eV/atom: -6.1488